#a
Below is a relaxed structure of VSnP2O, with properties calculated at the PBE with a Hubbard U level.

The structure in POSCAR format:
```
VSnP2O
1.0
4.823 0.000 0.000
0.000 4.823 0.000
0.000 0.000 3.660
V Sn P O
1 1 2 1
Cartesian
0.000 0.000 0.000 V
2.411 2.411 1.830 Sn
0.000 2.411 0.000 P
2.411 0.000 0.000 P
0.000 0.000 1.830 O
```

Properties
Density of states at the Fermi level, states/eV per cell: 2.273
Total moment, μB per formula unit: 0.00

=====

#b
Below is a relaxed structure of VSnP2O, with properties calculated at the PBE with a Hubbard U level.

The structure in POSCAR format:
```
VSnP2O
1.0
5.096 0.000 0.000
0.000 5.096 0.000
0.000 0.000 3.959
V Sn P O
1 1 2 1
Cartesian
0.000 0.000 0.000 V
2.548 2.548 1.980 Sn
0.000 2.548 1.980 P
2.548 0.000 1.980 P
2.548 2.548 0.000 O
```

Properties
Density of states at the Fermi level, states/eV per cell: 3.876
Total moment, μB per formula unit: 0.78

=====

The structure with the least stability is #b.

=====

#a
Below is a relaxed structure of SnP2WO, with properties calculated at the PBE with a Hubbard U level.

The structure in POSCAR format:
```
SnP2WO
1.0
4.933 0.000 0.000
0.000 4.933 0.000
0.000 0.000 3.838
Sn P W O
1 2 1 1
Cartesian
0.000 0.000 0.000 Sn
0.000 2.466 1.919 P
2.466 0.000 1.919 P
2.466 2.466 1.919 W
2.466 2.466 0.000 O
```

Properties
Density of states at the Fermi level, states/eV per cell: 1.934
Total moment, μB per formula unit: 0.00

=====

#b
Below is a relaxed structure of SnP2WO, with properties calculated at the PBE with a Hubbard U level.

The structure in POSCAR format:
```
SnP2WO
1.0
5.046 0.000 0.000
0.000 5.046 0.000
0.000 0.000 3.911
Sn P W O
1 2 1 1
Cartesian
0.000 0.000 0.000 Sn
0.000 2.523 0.000 P
2.523 0.000 0.000 P
2.523 2.523 1.956 W
0.000 0.000 1.956 O
```

Properties
Density of states at the Fermi level, states/eV per cell: 3.269
Total moment, μB per formula unit: 2.68

=====

The structure with the least stability is #b.